[1]
A geometry-optimized SrReHg2 structure, computed with PBE-GGA.

Results
Excess energy over the best structure of this formula in the dataset   0.36 eV/f.u.
SG   Pmm2 (25)
Energy   -12.2 eV for the cell shown
DFT formation energy   2.5 eV per formula unit

a b c (Å): 5.100 3.147 5.814
angles (deg): 90.04 90.00 90.00
Fractional positions:
Sr 0.500 0.750 0.754
Hg 0.000 0.250 0.988
Hg 0.500 0.250 0.273
Re 0.000 0.249 0.484

[2]
A geometry-optimized SrReHg structure, computed with PBE-GGA.

Results
Excess energy over the best structure of this formula in the dataset   0.06 eV/f.u.
SG   P-6m2 (187)
Energy   -11.9 eV for the cell shown
DFT formation energy   2.5 eV per formula unit

a b c (Å): 5.151 5.151 2.937
angles (deg): 90.00 90.00 120.00
Fractional positions:
Hg 0.000 0.000 0.166
Re 0.667 0.333 0.167
Sr 0.333 0.667 0.667

[3]
A geometry-optimized SrReHg2 structure, computed with PBE-GGA.

Results
Excess energy over the best structure of this formula in the dataset   0.00 eV/f.u.
SG   P2/m (10)
Energy   -12.6 eV for the cell shown
DFT formation energy   2.2 eV per formula unit

a b c (Å): 4.286 3.052 7.464
angles (deg): 65.77 90.00 90.00
Fractional positions:
Sr 0.500 0.750 0.750
Hg 0.000 0.541 0.459
Hg 0.000 0.959 0.041
Re 0.500 0.250 0.250

[4]
A geometry-optimized SrReHg2 structure, computed with PBE-GGA.

Results
Excess energy over the best structure of this formula in the dataset   0.47 eV/f.u.
SG   Immm (71)
Energy   -12.1 eV for the cell shown
DFT formation energy   2.7 eV per formula unit

a b c (Å): 5.372 5.372 5.372
angles (deg): 130.73 123.19 78.47
Fractional positions:
Hg 0.974 0.974 0.000
Hg 0.526 0.526 0.000
Sr 0.250 0.750 0.500
Re 0.750 0.250 0.500

[5]
A geometry-optimized Sr4ReHg structure, computed with PBE-GGA.

Results
SG   F-43m (216)
Energy   -12.3 eV for the cell shown
DFT formation energy   7.2 eV per formula unit

a b c (Å): 6.712 6.712 6.712
angles (deg): 60.00 60.00 60.00
Fractional positions:
Re 0.000 0.000 0.000
Hg 0.750 0.750 0.750
Sr 0.878 0.374 0.374
Sr 0.374 0.878 0.374
Sr 0.374 0.374 0.878
Sr 0.374 0.374 0.374

[6]
A geometry-optimized SrReHg2 structure, computed with PBE-GGA.

Results
Excess energy over the best structure of this formula in the dataset   0.24 eV/f.u.
SG   C2/m (12)
Energy   -12.3 eV for the cell shown
DFT formation energy   2.4 eV per formula unit

a b c (Å): 5.170 5.170 6.205
angles (deg): 81.94 81.94 34.42
Fractional positions:
Re 0.750 0.750 0.750
Hg 0.011 0.011 0.954
Hg 0.489 0.489 0.546
Sr 0.250 0.250 0.250

[7]
A geometry-optimized SrRe3Hg structure, computed with PBE-GGA.

Results
Excess energy over the best structure of this formula in the dataset   4.90 eV/f.u.
SG   Pm-3m (221)
Energy   -20.9 eV for the cell shown
DFT formation energy   18.4 eV per formula unit

a b c (Å): 4.846 4.846 4.846
angles (deg): 90.00 90.00 90.00
Fractional positions:
Re 0.500 0.000 0.000
Re 0.000 0.000 0.500
Re 0.000 0.500 0.000
Sr 0.000 0.000 0.000
Hg 0.500 0.500 0.500

[8]
A geometry-optimized SrRe2Hg structure, computed with PBE-GGA.

Results
SG   Cmmm (65)
Energy   -22.2 eV for the cell shown
DFT formation energy   4.7 eV per formula unit

a b c (Å): 2.806 2.806 10.120
angles (deg): 90.00 90.00 103.65
Fractional positions:
Re 0.000 0.000 0.516
Re 0.000 0.000 0.984
Hg 0.500 0.500 0.750
Sr 0.500 0.500 0.250

[9]
A geometry-optimized SrReHg structure, computed with PBE-GGA.

Results
Excess energy over the best structure of this formula in the dataset   0.03 eV/f.u.
SG   I4mm (107)
Energy   -11.9 eV for the cell shown
DFT formation energy   2.5 eV per formula unit

a b c (Å): 7.599 7.598 2.999
angles (deg): 78.63 78.61 22.76
Fractional positions:
Re 0.341 0.341 0.659
Hg 0.988 0.988 0.012
Sr 0.671 0.671 0.329

[10]
A geometry-optimized SrRe2Hg structure, computed with PBE-GGA.

Results
SG   Pmmm (47)
Energy   -22.7 eV for the cell shown
DFT formation energy   4.1 eV per formula unit

a b c (Å): 2.864 4.684 6.555
angles (deg): 90.00 90.00 90.00
Fractional positions:
Sr 0.500 0.500 0.250
Re 0.000 0.000 0.573
Re 0.000 0.000 0.927
Hg 0.500 0.500 0.750

[11]
A geometry-optimized SrReHg2 structure, computed with PBE-GGA.

Results
Excess energy over the best structure of this formula in the dataset   0.94 eV/f.u.
SG   I-42d (122)
Energy   -23.2 eV for the cell shown
DFT formation energy   3.1 eV per formula unit

a b c (Å): 5.094 5.094 9.895
angles (deg): 75.08 75.08 90.00
Fractional positions:
Re 0.750 0.250 0.500
Re 0.000 0.000 0.000
Hg 0.375 0.260 0.750
Hg 0.010 0.625 0.250
Hg 0.875 0.990 0.750
Hg 0.740 0.125 0.250
Sr 0.500 0.500 0.000
Sr 0.250 0.750 0.500

[12]
A geometry-optimized SrReHg structure, computed with PBE-GGA.

Results
Excess energy over the best structure of this formula in the dataset   0.00 eV/f.u.
SG   Imm2 (44)
Energy   -12.0 eV for the cell shown
DFT formation energy   2.5 eV per formula unit

a b c (Å): 6.094 6.094 6.094
angles (deg): 151.10 138.82 51.08
Fractional positions:
Hg 0.961 0.961 0.000
Re 0.370 0.370 0.000
Sr 0.670 0.670 0.000

[13]
A geometry-optimized SrReHg2 structure, computed with PBE-GGA.

Results
Excess energy over the best structure of this formula in the dataset   1.01 eV/f.u.
SG   R-3m (166)
Energy   -11.5 eV for the cell shown
DFT formation energy   3.2 eV per formula unit

a b c (Å): 10.307 10.307 10.307
angles (deg): 17.69 17.69 17.69
Fractional positions:
Hg 0.508 0.508 0.508
Hg 0.992 0.992 0.992
Re 0.250 0.250 0.250
Sr 0.750 0.750 0.750

[14]
A geometry-optimized SrRe2Hg structure, computed with PBE-GGA.

Results
SG   P4/mmm (123)
Energy   -22.1 eV for the cell shown
DFT formation energy   4.8 eV per formula unit

a b c (Å): 2.807 2.807 9.912
angles (deg): 90.00 90.00 90.00
Fractional positions:
Re 0.000 0.000 0.519
Re 0.000 0.000 0.981
Hg 0.500 0.500 0.750
Sr 0.500 0.500 0.250

[15]
A geometry-optimized Sr4Re2Hg structure, computed with PBE-GGA.

Results
SG   I4/mmm (139)
Energy   -26.4 eV for the cell shown
DFT formation energy   5.5 eV per formula unit

a b c (Å): 6.196 6.196 8.652
angles (deg): 69.02 69.02 90.00
Fractional positions:
Sr 0.000 0.500 0.000
Sr 0.786 0.786 0.427
Sr 0.500 0.000 0.000
Sr 0.214 0.214 0.573
Re 0.574 0.574 0.853
Re 0.426 0.426 0.147
Hg 0.000 0.000 0.000

[16]
A geometry-optimized SrRe2Hg structure, computed with PBE-GGA.

Results
SG   I4/mmm (139)
Energy   -22.1 eV for the cell shown
DFT formation energy   4.8 eV per formula unit

a b c (Å): 5.814 5.814 5.814
angles (deg): 139.53 139.53 58.57
Fractional positions:
Re 0.500 0.500 0.000
Re 0.000 0.000 0.000
Hg 0.750 0.250 0.500
Sr 0.250 0.750 0.500

[17]
A geometry-optimized SrReHg2 structure, computed with PBE-GGA.

Results
Excess energy over the best structure of this formula in the dataset   0.61 eV/f.u.
SG   C2/m (12)
Energy   -11.9 eV for the cell shown
DFT formation energy   2.8 eV per formula unit

a b c (Å): 7.150 5.429 3.076
angles (deg): 89.92 64.65 122.49
Fractional positions:
Hg 0.000 0.000 0.000
Hg 0.500 0.000 0.500
Re 0.000 0.500 0.500
Sr 0.500 0.500 0.000

[18]
A geometry-optimized SrReHg2 structure, computed with PBE-GGA.

Results
Excess energy over the best structure of this formula in the dataset   0.04 eV/f.u.
SG   Imm2 (44)
Energy   -12.5 eV for the cell shown
DFT formation energy   2.2 eV per formula unit

a b c (Å): 7.610 7.610 7.610
angles (deg): 156.67 143.76 43.54
Fractional positions:
Hg 0.679 0.179 0.500
Hg 0.996 0.996 0.000
Sr 0.316 0.816 0.500
Re 0.509 0.509 0.000

[19]
A geometry-optimized SrRe2Hg structure, computed with PBE-GGA.

Results
SG   C2 (5)
Energy   -23.8 eV for the cell shown
DFT formation energy   3.1 eV per formula unit

a b c (Å): 5.662 5.662 5.248
angles (deg): 117.51 117.51 110.85
Fractional positions:
Hg 0.723 0.277 0.500
Re 0.962 0.038 0.000
Re 0.302 0.698 0.500
Sr 0.513 0.487 0.000

[20]
A geometry-optimized SrRe2Hg structure, computed with PBE-GGA.

Results
SG   R3m (160)
Energy   -23.9 eV for the cell shown
DFT formation energy   3.0 eV per formula unit

a b c (Å): 10.421 10.421 10.421
angles (deg): 16.39 16.39 16.39
Fractional positions:
Re 0.993 0.993 0.993
Re 0.261 0.261 0.261
Sr 0.504 0.504 0.504
Hg 0.742 0.742 0.742

[21]
A geometry-optimized SrRe4Hg structure, computed with PBE-GGA.

Results
SG   F-43m (216)
Energy   -47.8 eV for the cell shown
DFT formation energy   4.0 eV per formula unit

a b c (Å): 5.417 5.417 5.417
angles (deg): 60.00 60.00 60.00
Fractional positions:
Sr 0.750 0.750 0.750
Re 0.374 0.374 0.374
Re 0.878 0.374 0.374
Re 0.374 0.374 0.878
Re 0.374 0.878 0.374
Hg 0.000 0.000 0.000

[22]
A geometry-optimized SrReHg structure, computed with PBE-GGA.

Results
Excess energy over the best structure of this formula in the dataset   2.37 eV/f.u.
SG   F-43m (216)
Energy   -9.6 eV for the cell shown
DFT formation energy   4.8 eV per formula unit

a b c (Å): 5.128 5.128 5.128
angles (deg): 60.00 60.00 60.00
Fractional positions:
Hg 0.000 0.000 0.000
Sr 0.250 0.250 0.250
Re 0.500 0.500 0.500

[23]
A geometry-optimized SrReHgW2 structure, computed with PBE-GGA.

Results
SG   P4/mmm (123)
Energy   -33.9 eV for the cell shown
DFT formation energy   6.4 eV per formula unit

a b c (Å): 4.840 5.402 4.840
angles (deg): 90.00 90.00 90.00
Fractional positions:
Sr 0.500 0.500 0.500
Re 0.000 0.000 0.000
W 0.500 0.000 0.000
W 0.000 0.000 0.500
Hg 0.000 0.500 0.000

[24]
A geometry-optimized Sr2ZrReHg structure, computed with PBE-GGA.

Results
SG   P4/mmm (123)
Energy   -14.5 eV for the cell shown
DFT formation energy   10.2 eV per formula unit

a b c (Å): 5.924 5.266 5.924
angles (deg): 90.00 90.00 90.00
Fractional positions:
Sr 0.000 0.000 0.500
Sr 0.500 0.000 0.000
Hg 0.000 0.500 0.000
Zr 0.000 0.000 0.000
Re 0.500 0.500 0.500

[25]
A geometry-optimized Ta2ReHg structure, computed with PBE-GGA.

Results
SG   I-4m2 (119)
Energy   -35.1 eV for the cell shown
DFT formation energy   1.4 eV per formula unit

a b c (Å): 5.195 5.195 5.195
angles (deg): 134.26 134.26 66.68
Fractional positions:
Ta 0.000 0.000 0.000
Ta 0.250 0.750 0.500
Re 0.750 0.250 0.500
Hg 0.500 0.500 0.000

[26]
A geometry-optimized TaReHg2 structure, computed with PBE-GGA.

Results
Excess energy over the best structure of this formula in the dataset   1.25 eV/f.u.
SG   R-3m (166)
Energy   -22.2 eV for the cell shown
DFT formation energy   2.7 eV per formula unit

a b c (Å): 9.929 9.929 9.929
angles (deg): 17.08 17.08 17.08
Fractional positions:
Re 0.750 0.750 0.750
Hg 0.498 0.498 0.498
Hg 0.002 0.002 0.002
Ta 0.250 0.250 0.250

[27]
A geometry-optimized TaReHg2 structure, computed with PBE-GGA.

Results
Excess energy over the best structure of this formula in the dataset   1.55 eV/f.u.
SG   Cmmm (65)
Energy   -21.9 eV for the cell shown
DFT formation energy   3.0 eV per formula unit

a b c (Å): 2.838 2.838 9.754
angles (deg): 90.00 90.00 109.00
Fractional positions:
Hg 0.000 0.000 0.003
Hg 0.000 0.000 0.497
Re 0.500 0.500 0.250
Ta 0.500 0.500 0.750

[28]
A geometry-optimized TaReHg2 structure, computed with PBE-GGA.

Results
Excess energy over the best structure of this formula in the dataset   1.68 eV/f.u.
SG   P4/mmm (123)
Energy   -21.8 eV for the cell shown
DFT formation energy   3.1 eV per formula unit

a b c (Å): 2.874 2.874 8.886
angles (deg): 90.00 90.00 90.00
Fractional positions:
Hg 0.000 0.000 0.006
Hg 0.000 0.000 0.494
Ta 0.500 0.500 0.750
Re 0.500 0.500 0.250

[29]
A geometry-optimized TaReHg2 structure, computed with PBE-GGA.

Results
Excess energy over the best structure of this formula in the dataset   2.05 eV/f.u.
SG   P4/mmm (123)
Energy   -21.4 eV for the cell shown
DFT formation energy   3.5 eV per formula unit

a b c (Å): 3.553 3.553 5.810
angles (deg): 90.00 90.00 90.00
Fractional positions:
Ta 0.500 0.500 0.750
Hg 0.000 0.000 0.495
Hg 0.000 0.000 0.005
Re 0.500 0.500 0.250

[30]
A geometry-optimized Ta2ReHg structure, computed with PBE-GGA.

Results
SG   P4/mmm (123)
Energy   -36.1 eV for the cell shown
DFT formation energy   0.4 eV per formula unit

a b c (Å): 3.145 3.145 7.333
angles (deg): 90.00 90.00 90.00
Fractional positions:
Hg 0.500 0.500 0.250
Ta 0.000 0.000 0.532
Ta 0.000 0.000 0.968
Re 0.500 0.500 0.750